# 1
# Na2NpScS4 | Alexandria | PBE-GGA | relaxed
data_Na2NpScS4
_chemical_formula_sum 'Na2 Np1 Sc1 S4'
_cell_length_a 6.730
_cell_length_b 3.903
_cell_length_c 7.034
_cell_angle_alpha 90.00
_cell_angle_beta 108.71
_cell_angle_gamma 90.00
_space_group_name_H-M_alt 'P 1 2/m 1'
_space_group_IT_number 10
loop_
_space_group_symop_operation_xyz
'x,y,z'
'-x,-y,-z'
'-x,y,-z'
'x,-y,z'
loop_
_atom_site_label
_atom_site_fract_x
_atom_site_fract_y
_atom_site_fract_z
Na1 0.000 0.000 0.000
Na2 0.500 0.500 0.000
Np1 0.000 0.500 0.500
Sc1 0.500 0.000 0.500
S1 0.253 0.000 0.725
S2 0.271 0.500 0.280
# N(E_F) = 10.955 states/eV/cell
# E_form (uncorrected) = -12.2 eV per formula unit

***

# 2
# PrHfO4 | Alexandria | PBE-GGA | relaxed
data_PrHfO4
_chemical_formula_sum 'Pr4 Hf4 O16'
_cell_length_a 5.494
_cell_length_b 5.494
_cell_length_c 11.118
_cell_angle_alpha 90.00
_cell_angle_beta 90.00
_cell_angle_gamma 90.00
_space_group_name_H-M_alt 'I 41/a'
_space_group_IT_number 88
loop_
_space_group_symop_operation_xyz
'x,y,z'
'-x,-y,-z'
'-y+3/4,x+1/4,z+1/4'
'y+3/4,-x+1/4,-z+1/4'
'-x+1/2,-y,z+1/2'
'x+1/2,y,-z+1/2'
'y+3/4,-x+3/4,z+3/4'
'-y+3/4,x+3/4,-z+3/4'
'x+1/2,y+1/2,z+1/2'
'-x+1/2,-y+1/2,-z+1/2'
'-y+1/4,x+3/4,z+3/4'
'y+1/4,-x+3/4,-z+3/4'
'-x,-y+1/2,z'
'x,y+1/2,-z'
'y+1/4,-x+1/4,z+1/4'
'-y+1/4,x+1/4,-z+1/4'
loop_
_atom_site_label
_atom_site_fract_x
_atom_site_fract_y
_atom_site_fract_z
Pr1 0.000 0.250 0.125
Hf1 0.000 0.250 0.625
O1 0.198 0.486 0.722
# N(E_F) = 6.395 states/eV/cell
# E_form (uncorrected) = -18.1 eV per formula unit